Entry 1:
A relaxed SmInAu2 crystal. Source: Alexandria, functional PBE.

POSCAR file:
```
SmInAu2
1.0
5.0017 0.0000 0.0000
2.5009 4.3316 0.0000
2.5009 1.4439 4.0839
Au Sm In
2 1 1
Cartesian
2.5009 1.4439 1.0210 Au
7.5026 4.3316 3.0629 Au
5.0017 2.8877 2.0419 Sm
0.0000 0.0000 0.0000 In
```

Its formation energy is -0.699 eV per atom. The calculation puts the density of states at the Fermi level at 1.39 states/eV/f.u.

***

Entry 2:
A relaxed LiYEr2 crystal. Source: Alexandria, functional PBE.

POSCAR file:
```
LiYEr2
1.0
-1.5995 -2.5383 1.7912
-1.0401 -2.9052 -1.6394
8.9605 -6.5234 2.1588
Li Y Er
1 1 2
Cartesian
-1.7564 -3.6312 0.1020 Li
3.1583 -5.9829 1.1549 Y
6.5519 -5.3702 1.6427 Er
1.5278 -2.9659 0.5663 Er
```

Its formation energy is 0.103 eV per atom. The calculation puts the density of states at the Fermi level at 4.67 states/eV/f.u. As for the energy relative to the lowest polymorph listed for this composition: 0.030 eV per atom.

***

Entry 3:
A relaxed Y2SiHg crystal. Source: Alexandria, functional PBE.

POSCAR file:
```
Y2SiHg
1.0
-6.5809 -3.3110 1.7020
-5.4184 -4.8569 -2.0541
-3.7198 -6.4122 1.4878
Hg Si Y
1 1 2
Cartesian
-7.4816 -6.9395 0.5405 Hg
-12.1069 -11.2297 0.8747 Si
-0.4532 -0.4203 0.0327 Y
-3.5370 -3.2807 0.2555 Y
```

The calculation puts the formation energy (no corrections) at -0.1568 eV/atom. The calculation puts the density of states at the Fermi level at 2.79 states/eV/f.u.

***

Entry 4:
A relaxed Li2Sm3Si4 crystal. Source: Alexandria, functional PBE.

POSCAR file:
```
Li2Sm3Si4
1.0
4.2220 0.0000 0.0000
-2.1110 5.2034 -1.3580
0.0000 -0.0243 8.3026
Li Sm Si
2 3 4
Cartesian
2.1110 1.3323 2.1110 Li
0.0000 3.8468 4.8336 Li
2.1110 1.6135 5.1649 Sm
0.0000 0.0000 0.0000 Sm
0.0000 3.5656 1.7797 Sm
2.1110 2.2513 -0.1648 Si
0.0000 2.9278 7.1093 Si
2.1110 4.5453 3.8176 Si
0.0000 0.6338 3.1269 Si
```

The calculation puts the formation energy (no corrections) at -0.6175 eV/atom. The calculation puts the density of states at the Fermi level at 3.62 states/eV/f.u.

***

> What is the density of states at the Fermi level in the fourth record?

3.62 states/eV/f.u.

***

> Which of these has the lowest density of states at the Fermi level?

SmInAu2

***

> The lowest density of states at the Fermi level belongs to which entry?

SmInAu2

***

Copy entry 1 word for word.
A relaxed SmInAu2 crystal. Source: Alexandria, functional PBE.

POSCAR file:
```
SmInAu2
1.0
5.0017 0.0000 0.0000
2.5009 4.3316 0.0000
2.5009 1.4439 4.0839
Au Sm In
2 1 1
Cartesian
2.5009 1.4439 1.0210 Au
7.5026 4.3316 3.0629 Au
5.0017 2.8877 2.0419 Sm
0.0000 0.0000 0.0000 In
```

Its formation energy is -0.699 eV per atom. The calculation puts the density of states at the Fermi level at 1.39 states/eV/f.u.